## PmHfCuNi (GGA-PBE)

Data for a geometry-optimized PmHfCuNi structure.

The structure in POSCAR format:
```
PmHfCuNi
1.0
4.7518 0.0000 0.0000
2.3759 4.1152 0.0000
2.3759 1.3717 3.8798
Ni Hf Cu Pm
1 1 1 1
Direct
0.7500 0.7500 0.7500
0.5000 0.5000 0.5000
0.2500 0.2500 0.2500
0.0000 0.0000 0.0000
```

E_tot = -6.256 eV/atom
Calculated formation energy = -111 meV/atom
Mass density = 9.76 Mg/m³

## ReMoIr2 (GGA-PBE)

Data for a geometry-optimized ReMoIr2 structure.

The structure in POSCAR format:
```
ReMoIr2
1.0
3.8797 0.0000 0.0000
0.0000 3.8803 0.0000
0.0000 0.0000 3.9380
Re Mo Ir
1 1 2
Direct
0.0000 0.5000 0.5000
0.5000 0.0000 0.5000
0.0000 0.0000 0.0000
0.5000 0.5000 0.0000
```

E_tot = -10.490 eV/atom
Calculated formation energy = -240 meV/atom
Mass density = 18.67 Mg/m³

## BaAc3As4 (GGA-PBE)

Data for a geometry-optimized BaAc3As4 structure.

The structure in POSCAR format:
```
BaAc3As4
1.0
6.4884 0.0000 0.0000
0.0000 6.4884 0.0000
0.0000 0.0000 6.4884
As Ac Ba
4 3 1
Direct
0.5000 0.0000 0.0000
0.0000 0.5000 0.0000
0.0000 0.0000 0.5000
0.5000 0.5000 0.5000
0.0000 0.5000 0.5000
0.5000 0.0000 0.5000
0.5000 0.5000 0.0000
0.0000 0.0000 0.0000
```

E_tot = -5.397 eV/atom
Calculated formation energy = -1292 meV/atom
Mass density = 6.80 Mg/m³